No. 1
VASP calculation (GGA-PBEsol) on an optimized crystal structure of Ta2SiMo.

Space-group type ... P4mm (99)
Formation energy from raw total energies ... 0.1 eV per formula unit

Lattice parameters (Å, degrees): 2.7694 2.7694 8.3135 90.00 90.00 90.00
With the nearest neighbours (Å) after each atom.
Atoms (fractional coordinates):
Mo (0.0000, 0.0000, 0.5275)  4 Si 2.65, 4 Mo 2.77
Si (0.5000, 0.5000, 0.7431)  4 Mo 2.65, 4 Ta 2.74, 4 Si 2.77
Ta (0.0000, 0.0000, 0.9727)  4 Si 2.74, 4 Ta 2.77
Ta (0.5000, 0.5000, 0.2567)  8 Ta 2.77-3.07, 4 Mo 2.98



No. 2
VASP calculation (GGA-PBEsol) on an optimized crystal structure of K2IrRh.

Space-group type ... P4/mmm (123)
Energy above the most stable polymorph in this dataset ... 0.433 eV/atom
Formation enthalpy at 0 K ... 0.93 eV/atom

Lattice parameters (Å, degrees): 2.7198 2.7198 10.5831 90.00 90.00 90.00
With the nearest neighbours (Å) after each atom.
Atoms (fractional coordinates):
Ir (0.5000, 0.5000, 0.5000)  4 Ir 2.72
K (0.0000, 0.0000, 0.7504)  4 K 2.72
K (0.0000, 0.0000, 0.2496)  4 K 2.72
Rh (0.5000, 0.5000, 0.0000)  4 Rh 2.72



No. 3
VASP calculation (GGA-PBEsol) on an optimized crystal structure of Cd5Cu.

Space-group type ... P-62m (189)
Energy above the most stable polymorph in this dataset ... 0.000 eV/atom
Formation enthalpy at 0 K ... 0.04 eV/atom

Lattice parameters (Å, degrees): 4.5907 5.3228 5.3228 120.00 90.00 90.00
With the nearest neighbours (Å) after each atom.
Atoms (fractional coordinates):
Cd (0.0000, 0.3157, 0.3157)  2 Cu 2.84, 10 Cd 2.91-3.16
Cd (0.0000, 0.6843, 0.0000)  2 Cu 2.84, 10 Cd 2.91-3.16
Cd (0.0000, 0.0000, 0.6843)  2 Cu 2.84, 10 Cd 2.91-3.16
Cd (0.5000, 0.3333, 0.6667)  9 Cd 2.93-3.07, 3 Cu 3.07
Cd (0.5000, 0.6667, 0.3333)  9 Cd 2.93-3.07, 3 Cu 3.07
Cu (0.5000, 0.0000, 0.0000)  12 Cd 2.84-3.07



No. 4
VASP calculation (GGA-PBEsol) on an optimized crystal structure of CaHgMo.

Space-group type ... F-43m (216)
Formation enthalpy at 0 K ... 1.01 eV/atom

Lattice parameters (Å, degrees): 4.7387 4.7387 4.7387 60.00 60.00 60.00
With the nearest neighbours (Å) after each atom.
Atoms (fractional coordinates):
Mo (0.2500, 0.2500, 0.2500)  4 Hg 2.90, 4 Ca 2.90
Ca (0.0000, 0.0000, 0.0000)  4 Mo 2.90
Hg (0.5000, 0.5000, 0.5000)  4 Mo 2.90



No. 5
VASP calculation (GGA-PBEsol) on an optimized crystal structure of MnGaSb2I.

Space-group type ... P4/mmm (123)
Formation energy from raw total energies ... 1.9 eV per formula unit

Lattice parameters (Å, degrees): 4.9272 4.9272 5.8204 90.00 90.00 90.00
With the nearest neighbours (Å) after each atom.
Atoms (fractional coordinates):
I (0.0000, 0.0000, 0.5000)  2 Mn 2.91
Sb (0.0000, 0.5000, 0.0000)  2 Mn 2.46
Sb (0.5000, 0.0000, 0.0000)  2 Mn 2.46
Mn (0.0000, 0.0000, 0.0000)  4 Sb 2.46
Ga (0.5000, 0.5000, 0.5000)  4 I 3.48, 8 Sb 3.81



No. 6
VASP calculation (GGA-PBEsol) on an optimized crystal structure of NiGeP2O.

Space-group type ... P4/mmm (123)
Formation energy from raw total energies ... 0.9 eV per formula unit

Lattice parameters (Å, degrees): 3.4240 4.5811 4.5811 90.00 90.00 90.00
With the nearest neighbours (Å) after each atom.
Atoms (fractional coordinates):
Ni (0.0000, 0.0000, 0.0000)  2 O 1.71
Ge (0.5000, 0.5000, 0.5000)  8 P 2.86
O (0.5000, 0.0000, 0.0000)  2 Ni 1.71
P (0.0000, 0.0000, 0.5000)  2 Ni 2.29
P (0.0000, 0.5000, 0.0000)  2 Ni 2.29



No. 7
VASP calculation (GGA-PBEsol) on an optimized crystal structure of ZrPb3Br.

Space-group type ... Pm-3m (221)
Formation energy from raw total energies ... 1.5 eV per formula unit

Lattice parameters (Å, degrees): 5.6248 5.6248 5.6248 90.00 90.00 90.00
With the nearest neighbours (Å) after each atom.
Atoms (fractional coordinates):
Pb (0.0000, 0.5000, 0.0000)  2 Zr 2.81
Pb (0.0000, 0.0000, 0.5000)  2 Zr 2.81
Pb (0.5000, 0.0000, 0.0000)  2 Zr 2.81
Br (0.5000, 0.5000, 0.5000)  12 Pb 3.98
Zr (0.0000, 0.0000, 0.0000)  6 Pb 2.81



No. 8
VASP calculation (GGA-PBEsol) on an optimized crystal structure of NiAs2P.

Space-group type ... P2/m (10)
Formation enthalpy at 0 K ... 0.11 eV/atom

Lattice parameters (Å, degrees): 2.6073 3.3968 6.8850 90.00 84.58 90.00
With the nearest neighbours (Å) after each atom.
Atoms (fractional coordinates):
As (0.9426, 0.0000, 0.7777)  4 Ni 2.49-2.79, 2 P 2.55, 2 As 2.61
As (0.0574, 0.0000, 0.2223)  4 Ni 2.49-2.79, 2 P 2.55, 2 As 2.61
Ni (0.5000, 0.5000, 0.0000)  8 As 2.49-2.79, 2 Ni 2.61
P (0.0000, 0.5000, 0.5000)  4 As 2.55, 2 P 2.61



Number 1: N(E_F) 3.0 states/eV/f.u.. Number 2: N(E_F) 4.3 states/eV/f.u.. Number 3: N(E_F) 1.4 states/eV/f.u.. Number 4: N(E_F) 3.2 states/eV/f.u.. Number 5: N(E_F) 2.5 states/eV/f.u.. Number 6: N(E_F) 3.8 states/eV/f.u.. Number 7: N(E_F) 7.5 states/eV/f.u.. Number 8: N(E_F) 2.1 states/eV/f.u..